{"formula": "Tb8Te4AsS3", "functional": "PBE", "state": "optimized geometry", "space_group": "No. 166", "n_ef_per_ev_cell": 4.41, "density_kg_m3": 7838, "dft_energy_ev_per_atom": -5.8027, "raw_formation_energy_ev_per_atom": -1.64, "lattice_angstrom": [[-4.345, 6.429, 2.813], [-6.951, -4.844, 0.334], [6.798, -2.449, 3.989]], "species": ["Tb", "Tb", "Tb", "Tb", "Tb", "Tb", "Tb", "Tb", "Te", "Te", "Te", "Te", "As", "S", "S", "S"], "fractional_positions": [[0.239, 0.708, 0.969], [0.238, 0.708, 0.477], [0.265, 0.296, 0.531], [0.731, 0.708, 0.969], [0.269, 0.292, 0.031], [0.735, 0.704, 0.469], [0.762, 0.292, 0.523], [0.761, 0.292, 0.031], [0.500, 0.000, 0.000], [0.500, 0.000, 0.500], [0.000, 0.000, 0.000], [0.000, 0.000, 0.500], [0.000, 0.500, 0.000], [0.500, 0.500, 0.000], [0.500, 0.500, 0.500], [0.000, 0.500, 0.500]]}



{"formula": "SrNiAg2Cl8", "functional": "PBE", "state": "optimized geometry", "space_group": "No. 10", "n_ef_per_ev_cell": 4.04, "density_kg_m3": 3276, "dft_energy_ev_per_atom": -3.2231, "raw_formation_energy_ev_per_atom": -0.89, "lattice_angstrom": [[6.602, -0.280, -0.004], [-0.263, 6.403, -0.008], [0.004, 0.009, 7.755]], "species": ["Sr", "Ni", "Ag", "Ag", "Cl", "Cl", "Cl", "Cl", "Cl", "Cl", "Cl", "Cl"], "fractional_positions": [[0.000, 0.000, 0.500], [0.000, 0.000, 0.000], [0.500, 0.500, 0.766], [0.500, 0.500, 0.234], [0.151, 0.813, 0.197], [0.684, 0.716, 0.000], [0.849, 0.187, 0.197], [0.849, 0.187, 0.803], [0.316, 0.284, 0.000], [0.151, 0.813, 0.803], [0.639, 0.713, 0.500], [0.361, 0.287, 0.500]]}



{"formula": "NbInCl5", "functional": "PBE", "state": "optimized geometry", "space_group": "No. 15", "n_ef_per_ev_cell": 9.48, "density_kg_m3": 2593, "dft_energy_ev_per_atom": -4.2353, "raw_formation_energy_ev_per_atom": -1.09, "lattice_angstrom": [[0.045, 8.116, -1.156], [-0.899, 5.509, 6.003], [8.589, 3.253, 2.317]], "species": ["Nb", "Nb", "In", "In", "Cl", "Cl", "Cl", "Cl", "Cl", "Cl", "Cl", "Cl", "Cl", "Cl"], "fractional_positions": [[0.000, 0.000, 0.000], [0.000, 0.000, 0.500], [0.433, 0.567, 0.750], [0.567, 0.433, 0.250], [0.339, 0.912, 0.880], [0.340, 0.907, 0.486], [0.912, 0.339, 0.380], [0.895, 0.105, 0.750], [0.093, 0.660, 0.014], [0.907, 0.340, 0.986], [0.105, 0.895, 0.250], [0.088, 0.661, 0.620], [0.660, 0.093, 0.514], [0.661, 0.088, 0.120]]}



{"formula": "Na2GaSi2Pd5", "functional": "PBE", "state": "optimized geometry", "space_group": "No. 127", "n_ef_per_ev_cell": 6.80, "density_kg_m3": 7081, "dft_energy_ev_per_atom": -4.7854, "raw_formation_energy_ev_per_atom": -0.54, "lattice_angstrom": [[-0.337, 2.618, -1.133], [-6.088, -4.151, -7.787], [-8.735, 1.487, 6.035]], "species": ["Na", "Na", "Na", "Na", "Ga", "Ga", "Si", "Si", "Si", "Si", "Pd", "Pd", "Pd", "Pd", "Pd", "Pd", "Pd", "Pd", "Pd", "Pd"], "fractional_positions": [[0.000, 0.674, 0.174], [0.000, 0.326, 0.826], [0.000, 0.174, 0.326], [0.000, 0.826, 0.674], [0.000, 0.000, 0.000], [0.000, 0.500, 0.500], [0.000, 0.132, 0.632], [0.000, 0.868, 0.368], [0.000, 0.632, 0.868], [0.000, 0.368, 0.132], [0.500, 0.197, 0.063], [0.500, 0.803, 0.937], [0.500, 0.063, 0.803], [0.500, 0.697, 0.437], [0.500, 0.937, 0.197], [0.500, 0.303, 0.563], [0.500, 0.563, 0.697], [0.500, 0.437, 0.303], [0.500, 0.500, 0.000], [0.500, 0.000, 0.500]]}



{"formula": "Ir4RhCl", "functional": "PBE", "state": "optimized geometry", "space_group": "No. 216", "n_ef_per_ev_cell": 12.68, "density_kg_m3": 15088, "dft_energy_ev_per_atom": -6.3738, "raw_formation_energy_ev_per_atom": 1.07, "lattice_angstrom": [[0.000, 3.682, 3.682], [3.682, 0.000, 3.682], [3.682, 3.682, 0.000]], "species": ["Ir", "Ir", "Ir", "Ir", "Rh", "Cl"], "fractional_positions": [[0.625, 0.625, 0.126], [0.625, 0.126, 0.625], [0.625, 0.625, 0.625], [0.126, 0.625, 0.625], [0.250, 0.250, 0.250], [0.000, 0.000, 0.000]]}



{"formula": "Er4SnPd", "functional": "PBE", "state": "optimized geometry", "space_group": "No. 15", "n_ef_per_ev_cell": 13.23, "density_kg_m3": 9220, "ef_ev_per_atom": -0.53, "dft_energy_ev_per_atom": -5.1060, "lattice_angstrom": [[5.821, -0.341, 0.000], [-1.901, 8.261, 0.000], [-1.960, -3.960, 6.789]], "species": ["Er", "Er", "Er", "Er", "Er", "Er", "Er", "Er", "Sn", "Sn", "Pd", "Pd"], "fractional_positions": [[0.051, 0.215, 0.851], [0.776, 0.706, 0.641], [0.300, 0.636, 0.851], [0.365, 0.936, 0.641], [0.635, 0.064, 0.359], [0.700, 0.364, 0.149], [0.224, 0.294, 0.359], [0.949, 0.785, 0.149], [0.375, 0.625, 0.249], [0.625, 0.375, 0.751], [0.249, 0.999, 0.998], [0.751, 0.001, 0.002]]}



{"formula": "K3Cd4", "functional": "PBE", "state": "optimized geometry", "space_group": "No. 11", "n_ef_per_ev_cell": 7.85, "density_kg_m3": 3602, "ef_ev_per_atom": -0.08, "dft_energy_ev_per_atom": -1.0772, "lattice_angstrom": [[5.078, -0.013, 0.000], [-2.556, 6.512, 0.000], [0.000, 0.000, 15.824]], "species": ["K", "K", "K", "K", "K", "K", "Cd", "Cd", "Cd", "Cd", "Cd", "Cd", "Cd", "Cd"], "fractional_positions": [[0.728, 0.461, 0.102], [0.274, 0.544, 0.898], [0.728, 0.461, 0.398], [0.274, 0.544, 0.603], [0.029, 0.060, 0.250], [0.973, 0.945, 0.750], [0.327, 0.660, 0.250], [0.675, 0.344, 0.750], [0.442, 0.886, 0.087], [0.002, 0.003, 0.000], [0.442, 0.886, 0.414], [0.561, 0.119, 0.914], [0.001, 0.002, 0.500], [0.560, 0.119, 0.587]]}



{"formula": "Tb9DyTl2", "functional": "PBE", "state": "optimized geometry", "space_group": "No. 123", "n_ef_per_ev_cell": 14.95, "density_kg_m3": 9261, "ef_ev_per_atom": -0.11, "dft_energy_ev_per_atom": -4.3635, "lattice_angstrom": [[4.885, 0.000, 0.000], [0.000, 4.885, 0.000], [0.000, 0.000, 15.037]], "species": ["Tb", "Tb", "Tb", "Tb", "Tb", "Tb", "Tb", "Tb", "Tb", "Dy", "Tl", "Tl"], "fractional_positions": [[0.500, 0.500, 0.000], [0.500, 0.500, 0.337], [0.500, 0.500, 0.663], [0.500, 0.000, 0.172], [0.500, 0.000, 0.500], [0.500, 0.000, 0.828], [0.000, 0.500, 0.172], [0.000, 0.500, 0.500], [0.000, 0.500, 0.828], [0.000, 0.000, 0.000], [0.000, 0.000, 0.340], [0.000, 0.000, 0.660]]}



{"formula": "Nb2O4F", "functional": "PBE", "state": "optimized geometry", "space_group": "No. 62", "n_ef_per_ev_cell": 12.50, "density_kg_m3": 5418, "dft_energy_ev_per_atom": -8.3383, "raw_formation_energy_ev_per_atom": -2.36, "lattice_angstrom": [[3.169, 0.000, 0.000], [0.000, 8.606, 0.000], [0.000, 0.000, 12.085]], "species": ["Nb", "Nb", "Nb", "Nb", "Nb", "Nb", "Nb", "Nb", "O", "O", "O", "O", "O", "O", "O", "O", "O", "O", "O", "O", "O", "O", "O", "O", "F", "F", "F", "F"], "fractional_positions": [[0.750, 0.999, 0.876], [0.250, 0.001, 0.124], [0.750, 0.499, 0.624], [0.250, 0.501, 0.376], [0.250, 0.407, 0.893], [0.750, 0.593, 0.107], [0.250, 0.907, 0.607], [0.750, 0.093, 0.393], [0.750, 0.086, 0.042], [0.250, 0.914, 0.958], [0.750, 0.586, 0.458], [0.250, 0.414, 0.542], [0.750, 0.995, 0.699], [0.250, 0.005, 0.301], [0.750, 0.495, 0.801], [0.250, 0.505, 0.199], [0.750, 0.389, 0.001], [0.250, 0.611, 0.999], [0.750, 0.889, 0.499], [0.250, 0.111, 0.501], [0.250, 0.181, 0.861], [0.750, 0.819, 0.139], [0.250, 0.681, 0.639], [0.750, 0.319, 0.361], [0.250, 0.717, 0.331], [0.750, 0.283, 0.669], [0.250, 0.217, 0.169], [0.750, 0.783, 0.831]]}



{"formula": "Pr4Ho5Sc2", "functional": "PBE", "state": "optimized geometry", "space_group": "No. 71", "n_ef_per_ev_cell": 16.13, "density_kg_m3": 6776, "ef_ev_per_atom": 0.32, "dft_energy_ev_per_atom": -4.6466, "lattice_angstrom": [[-0.394, 3.441, -0.193], [-9.122, -0.939, 1.869], [6.906, -0.393, 10.078]], "species": ["Pr", "Pr", "Pr", "Pr", "Ho", "Ho", "Ho", "Ho", "Ho", "Sc", "Sc"], "fractional_positions": [[0.000, 0.292, 0.000], [0.599, 0.599, 0.197], [0.000, 0.708, 0.000], [0.401, 0.401, 0.803], [0.844, 0.050, 0.687], [0.844, 0.638, 0.687], [0.156, 0.362, 0.313], [0.156, 0.950, 0.313], [0.500, 0.000, 0.000], [0.270, 0.270, 0.541], [0.730, 0.730, 0.459]]}



{"formula": "LiVCd2Re", "functional": "PBE", "state": "optimized geometry", "space_group": "No. 123", "n_ef_per_ev_cell": 6.27, "density_kg_m3": 6163, "ef_ev_per_atom": 1.52, "dft_energy_ev_per_atom": -3.5414, "lattice_angstrom": [[5.180, 0.000, 0.000], [0.000, 4.708, 0.000], [0.000, 0.000, 5.180]], "species": ["Re", "V", "Li", "Cd", "Cd"], "fractional_positions": [[0.000, 0.000, 0.000], [0.500, 0.500, 0.500], [0.000, 0.500, 0.000], [0.000, 0.000, 0.500], [0.500, 0.000, 0.000]]}



{"formula": "AlI2BrO", "functional": "PBE", "state": "optimized geometry", "space_group": "No. 123", "n_ef_per_ev_cell": 3.05, "density_kg_m3": 4240, "dft_energy_ev_per_atom": -2.2268, "raw_formation_energy_ev_per_atom": 0.47, "lattice_angstrom": [[-5.146, 1.981, -2.481], [0.346, -4.347, -4.188], [-2.106, -2.474, 2.394]], "species": ["I", "I", "O", "Al", "Br"], "fractional_positions": [[0.000, 0.500, 0.000], [0.500, 0.000, 0.000], [0.000, 0.000, 0.500], [0.500, 0.500, 0.500], [0.000, 0.000, 0.000]]}